[1]
# LaHoZnPd | Alexandria | PBE | optimized geometry
# Total magnetization = 0.00 μB/cell
data_LaHoZnPd
_chemical_formula_sum 'La1 Ho1 Zn1 Pd1'
_cell_length_a 4.598
_cell_length_b 5.797
_cell_length_c 5.797
_cell_angle_alpha 39.75
_cell_angle_beta 90.00
_cell_angle_gamma 90.00
_symmetry_space_group_name_H-M 'P 1'
_symmetry_Int_Tables_number 1
loop_
_symmetry_equiv_pos_as_xyz
'x,y,z'
loop_
_atom_site_label
_atom_site_fract_x
_atom_site_fract_y
_atom_site_fract_z
La1 0.000 0.000 0.000
Ho1 0.500 0.283 0.283
Zn1 0.500 0.574 0.574
Pd1 0.000 0.720 0.720

[2]
# TaNbMoOs | Alexandria | PBE | optimized geometry
# Total magnetization = 0.00 μB/cell
data_TaNbMoOs
_chemical_formula_sum 'Ta1 Nb1 Mo1 Os1'
_cell_length_a 4.533
_cell_length_b 4.533
_cell_length_c 4.533
_cell_angle_alpha 60.00
_cell_angle_beta 60.00
_cell_angle_gamma 60.00
_symmetry_space_group_name_H-M 'P 1'
_symmetry_Int_Tables_number 1
loop_
_symmetry_equiv_pos_as_xyz
'x,y,z'
loop_
_atom_site_label
_atom_site_fract_x
_atom_site_fract_y
_atom_site_fract_z
Ta1 0.000 0.000 0.000
Nb1 0.500 0.500 0.500
Mo1 0.250 0.250 0.250
Os1 0.750 0.750 0.750

[3]
# CsSeIO6 | Alexandria | PBE | optimized geometry
# Total magnetization = 0.00 μB/cell
data_CsSeIO6
_chemical_formula_sum 'Cs1 Se1 I1 O6'
_cell_length_a 5.155
_cell_length_b 5.845
_cell_length_c 6.589
_cell_angle_alpha 88.83
_cell_angle_beta 87.13
_cell_angle_gamma 64.14
_symmetry_space_group_name_H-M 'P 1'
_symmetry_Int_Tables_number 1
loop_
_symmetry_equiv_pos_as_xyz
'x,y,z'
loop_
_atom_site_label
_atom_site_fract_x
_atom_site_fract_y
_atom_site_fract_z
Cs1 0.000 0.000 0.000
Se1 0.317 0.365 0.499
I1 0.666 0.667 0.500
O1 0.047 0.590 0.336
O2 0.360 0.592 0.662
O3 0.471 0.900 0.308
O4 0.630 0.903 0.689
O5 0.633 0.399 0.343
O6 0.961 0.402 0.657

[4]
# Dy7Sb2C2 | Alexandria | PBE | optimized geometry
# Total magnetization = 0.00 μB/cell
data_Dy7Sb2C2
_chemical_formula_sum 'Dy7 Sb2 C2'
_cell_length_a 9.441
_cell_length_b 9.441
_cell_length_c 9.441
_cell_angle_alpha 158.70
_cell_angle_beta 66.39
_cell_angle_gamma 117.96
_symmetry_space_group_name_H-M 'P 1'
_symmetry_Int_Tables_number 1
loop_
_symmetry_equiv_pos_as_xyz
'x,y,z'
loop_
_atom_site_label
_atom_site_fract_x
_atom_site_fract_y
_atom_site_fract_z
Dy1 0.000 0.000 0.000
Dy2 0.046 0.706 0.340
Dy3 0.070 0.379 0.691
Dy4 0.366 0.706 0.660
Dy5 0.437 0.575 0.863
Dy6 0.687 0.379 0.309
Dy7 0.712 0.575 0.137
Sb1 0.327 0.327 0.000
Sb2 0.736 0.236 0.500
C1 0.392 0.132 0.260
C2 0.871 0.132 0.740

[5]
# NdMg2Ag2Pb2 | Alexandria | PBE | optimized geometry
# Total magnetization = 0.00 μB/cell
data_NdMg2Ag2Pb2
_chemical_formula_sum 'Nd1 Mg2 Ag2 Pb2'
_cell_length_a 9.009
_cell_length_b 9.009
_cell_length_c 9.009
_cell_angle_alpha 30.58
_cell_angle_beta 30.58
_cell_angle_gamma 30.58
_symmetry_space_group_name_H-M 'P 1'
_symmetry_Int_Tables_number 1
loop_
_symmetry_equiv_pos_as_xyz
'x,y,z'
loop_
_atom_site_label
_atom_site_fract_x
_atom_site_fract_y
_atom_site_fract_z
Nd1 0.000 0.000 0.000
Mg1 0.139 0.139 0.139
Mg2 0.861 0.861 0.861
Ag1 0.444 0.444 0.444
Ag2 0.556 0.556 0.556
Pb1 0.265 0.265 0.265
Pb2 0.735 0.735 0.735

[6]
# Ti2OsCl | Alexandria | PBE | optimized geometry
# Total magnetization = 0.00 μB/cell
data_Ti2OsCl
_chemical_formula_sum 'Ti4 Os2 Cl2'
_cell_length_a 5.707
_cell_length_b 5.707
_cell_length_c 5.707
_cell_angle_alpha 110.97
_cell_angle_beta 110.97
_cell_angle_gamma 106.52
_symmetry_space_group_name_H-M 'P 1'
_symmetry_Int_Tables_number 1
loop_
_symmetry_equiv_pos_as_xyz
'x,y,z'
loop_
_atom_site_label
_atom_site_fract_x
_atom_site_fract_y
_atom_site_fract_z
Ti1 0.115 0.125 0.490
Ti2 0.375 0.885 0.010
Ti3 0.635 0.625 0.510
Ti4 0.875 0.365 0.990
Os1 0.250 0.750 0.500
Os2 0.500 0.500 0.000
Cl1 0.000 0.000 0.000
Cl2 0.750 0.250 0.500

[7]
# KZnS2 | Alexandria | PBE | optimized geometry
# Total magnetization = 2.00 μB/cell
data_KZnS2
_chemical_formula_sum 'K2 Zn2 S4'
_cell_length_a 7.568
_cell_length_b 7.568
_cell_length_c 7.568
_cell_angle_alpha 131.83
_cell_angle_beta 131.83
_cell_angle_gamma 70.50
_symmetry_space_group_name_H-M 'P 1'
_symmetry_Int_Tables_number 1
loop_
_symmetry_equiv_pos_as_xyz
'x,y,z'
loop_
_atom_site_label
_atom_site_fract_x
_atom_site_fract_y
_atom_site_fract_z
K1 0.000 0.000 0.000
K2 0.750 0.250 0.500
Zn1 0.250 0.750 0.500
Zn2 0.500 0.500 0.000
S1 0.244 0.625 0.119
S2 0.375 0.494 0.619
S3 0.506 0.125 0.881
S4 0.875 0.756 0.381

[8]
# Tm3TlPb2 | Alexandria | PBE | optimized geometry
# Total magnetization = 0.00 μB/cell
data_Tm3TlPb2
_chemical_formula_sum 'Tm12 Tl4 Pb8'
_cell_length_a 12.759
_cell_length_b 4.708
_cell_length_c 11.260
_cell_angle_alpha 90.00
_cell_angle_beta 90.00
_cell_angle_gamma 90.00
_symmetry_space_group_name_H-M 'P 1'
_symmetry_Int_Tables_number 1
loop_
_symmetry_equiv_pos_as_xyz
'x,y,z'
loop_
_atom_site_label
_atom_site_fract_x
_atom_site_fract_y
_atom_site_fract_z
Tm1 0.023 0.250 0.121
Tm2 0.145 0.750 0.583
Tm3 0.188 0.250 0.829
Tm4 0.312 0.750 0.329
Tm5 0.355 0.250 0.083
Tm6 0.477 0.750 0.621
Tm7 0.523 0.250 0.379
Tm8 0.645 0.750 0.917
Tm9 0.688 0.250 0.671
Tm10 0.812 0.750 0.171
Tm11 0.855 0.250 0.417
Tm12 0.977 0.750 0.879
Tl1 0.164 0.250 0.341
Tl2 0.336 0.750 0.841
Tl3 0.664 0.250 0.159
Tl4 0.836 0.750 0.659
Pb1 0.004 0.750 0.339
Pb2 0.179 0.750 0.051
Pb3 0.321 0.250 0.551
Pb4 0.496 0.250 0.839
Pb5 0.504 0.750 0.161
Pb6 0.679 0.750 0.449
Pb7 0.821 0.250 0.949
Pb8 0.996 0.250 0.661

[9]
# La3Nd2Pb4 | Alexandria | PBE | optimized geometry
# Total magnetization = 0.00 μB/cell
data_La3Nd2Pb4
_chemical_formula_sum 'La3 Nd2 Pb4'
_cell_length_a 7.384
_cell_length_b 7.384
_cell_length_c 10.561
_cell_angle_alpha 121.99
_cell_angle_beta 121.99
_cell_angle_gamma 40.00
_symmetry_space_group_name_H-M 'P 1'
_symmetry_Int_Tables_number 1
loop_
_symmetry_equiv_pos_as_xyz
'x,y,z'
loop_
_atom_site_label
_atom_site_fract_x
_atom_site_fract_y
_atom_site_fract_z
La1 0.000 0.000 0.000
La2 0.354 0.354 0.300
La3 0.646 0.646 0.700
Nd1 0.355 0.355 0.682
Nd2 0.645 0.645 0.318
Pb1 0.066 0.066 0.416
Pb2 0.327 0.327 0.969
Pb3 0.673 0.673 0.031
Pb4 0.934 0.934 0.584

[10]
# GeRuN | Alexandria | PBE | optimized geometry
# Total magnetization = 0.00 μB/cell
data_GeRuN
_chemical_formula_sum 'Ge2 Ru2 N2'
_cell_length_a 5.780
_cell_length_b 5.780
_cell_length_c 4.895
_cell_angle_alpha 97.10
_cell_angle_beta 97.10
_cell_angle_gamma 28.82
_symmetry_space_group_name_H-M 'P 1'
_symmetry_Int_Tables_number 1
loop_
_symmetry_equiv_pos_as_xyz
'x,y,z'
loop_
_atom_site_label
_atom_site_fract_x
_atom_site_fract_y
_atom_site_fract_z
Ge1 0.000 0.000 0.000
Ge2 0.203 0.203 0.544
Ru1 0.444 0.444 0.590
Ru2 0.776 0.776 0.953
N1 0.036 0.036 0.396
N2 0.302 0.302 0.252

[11]
# Sr3Si2Pt2 | Alexandria | PBE | optimized geometry
# Total magnetization = 0.00 μB/cell
data_Sr3Si2Pt2
_chemical_formula_sum 'Sr3 Si2 Pt2'
_cell_length_a 9.750
_cell_length_b 9.750
_cell_length_c 9.750
_cell_angle_alpha 155.33
_cell_angle_beta 151.85
_cell_angle_gamma 37.78
_symmetry_space_group_name_H-M 'P 1'
_symmetry_Int_Tables_number 1
loop_
_symmetry_equiv_pos_as_xyz
'x,y,z'
loop_
_atom_site_label
_atom_site_fract_x
_atom_site_fract_y
_atom_site_fract_z
Sr1 0.000 0.000 0.000
Sr2 0.186 0.686 0.500
Sr3 0.814 0.314 0.500
Si1 0.434 0.434 0.000
Si2 0.566 0.566 0.000
Pt1 0.371 0.871 0.500
Pt2 0.629 0.129 0.500

[12]
# LiLa2Al3Au4 | Alexandria | PBE | optimized geometry
# Total magnetization = 0.00 μB/cell
data_LiLa2Al3Au4
_chemical_formula_sum 'Li1 La2 Al3 Au4'
_cell_length_a 4.527
_cell_length_b 4.527
_cell_length_c 10.311
_cell_angle_alpha 90.00
_cell_angle_beta 90.00
_cell_angle_gamma 90.00
_symmetry_space_group_name_H-M 'P 1'
_symmetry_Int_Tables_number 1
loop_
_symmetry_equiv_pos_as_xyz
'x,y,z'
loop_
_atom_site_label
_atom_site_fract_x
_atom_site_fract_y
_atom_site_fract_z
Li1 0.000 0.000 0.000
La1 0.000 0.500 0.748
La2 0.500 0.000 0.252
Al1 0.000 0.500 0.370
Al2 0.500 0.000 0.630
Al3 0.500 0.500 0.000
Au1 0.000 0.000 0.500
Au2 0.000 0.500 0.125
Au3 0.500 0.000 0.875
Au4 0.500 0.500 0.500

[13]
# Sr2Sb2Au | Alexandria | PBE | optimized geometry
# Total magnetization = 0.00 μB/cell
data_Sr2Sb2Au
_chemical_formula_sum 'Sr4 Sb4 Au2'
_cell_length_a 9.468
_cell_length_b 9.468
_cell_length_c 3.678
_cell_angle_alpha 90.00
_cell_angle_beta 90.00
_cell_angle_gamma 90.00
_symmetry_space_group_name_H-M 'P 1'
_symmetry_Int_Tables_number 1
loop_
_symmetry_equiv_pos_as_xyz
'x,y,z'
loop_
_atom_site_label
_atom_site_fract_x
_atom_site_fract_y
_atom_site_fract_z
Sr1 0.138 0.362 0.000
Sr2 0.362 0.862 0.000
Sr3 0.638 0.138 0.000
Sr4 0.862 0.638 0.000
Sb1 0.165 0.665 0.500
Sb2 0.335 0.165 0.500
Sb3 0.665 0.835 0.500
Sb4 0.835 0.335 0.500
Au1 0.000 0.000 0.000
Au2 0.500 0.500 0.000

[14]
# BaReCl2 | Alexandria | PBE | optimized geometry
# Total magnetization = 0.59 μB/cell
data_BaReCl2
_chemical_formula_sum 'Ba1 Re1 Cl2'
_cell_length_a 3.783
_cell_length_b 4.058
_cell_length_c 6.061
_cell_angle_alpha 90.00
_cell_angle_beta 90.14
_cell_angle_gamma 90.00
_symmetry_space_group_name_H-M 'P 1'
_symmetry_Int_Tables_number 1
loop_
_symmetry_equiv_pos_as_xyz
'x,y,z'
loop_
_atom_site_label
_atom_site_fract_x
_atom_site_fract_y
_atom_site_fract_z
Ba1 0.000 0.000 0.000
Re1 0.500 0.000 0.500
Cl1 0.499 0.500 0.731
Cl2 0.501 0.500 0.269

[15]
# Si2Ir2Au | Alexandria | PBE | optimized geometry
# Total magnetization = 0.00 μB/cell
data_Si2Ir2Au
_chemical_formula_sum 'Si4 Ir4 Au2'
_cell_length_a 7.226
_cell_length_b 7.226
_cell_length_c 2.808
_cell_angle_alpha 90.00
_cell_angle_beta 90.00
_cell_angle_gamma 90.00
_symmetry_space_group_name_H-M 'P 1'
_symmetry_Int_Tables_number 1
loop_
_symmetry_equiv_pos_as_xyz
'x,y,z'
loop_
_atom_site_label
_atom_site_fract_x
_atom_site_fract_y
_atom_site_fract_z
Si1 0.151 0.349 0.000
Si2 0.349 0.849 0.000
Si3 0.651 0.151 0.000
Si4 0.849 0.651 0.000
Ir1 0.144 0.644 0.500
Ir2 0.356 0.144 0.500
Ir3 0.644 0.856 0.500
Ir4 0.856 0.356 0.500
Au1 0.000 0.000 0.500
Au2 0.500 0.500 0.500

[16]
# Be3IrF | Alexandria | PBE | optimized geometry
# Total magnetization = 0.00 μB/cell
data_Be3IrF
_chemical_formula_sum 'Be3 Ir1 F1'
_cell_length_a 3.634
_cell_length_b 3.634
_cell_length_c 3.634
_cell_angle_alpha 90.00
_cell_angle_beta 90.00
_cell_angle_gamma 90.00
_symmetry_space_group_name_H-M 'P 1'
_symmetry_Int_Tables_number 1
loop_
_symmetry_equiv_pos_as_xyz
'x,y,z'
loop_
_atom_site_label
_atom_site_fract_x
_atom_site_fract_y
_atom_site_fract_z
Be1 0.000 0.000 0.500
Be2 0.000 0.500 0.000
Be3 0.500 0.000 0.000
Ir1 0.500 0.500 0.500
F1 0.000 0.000 0.000

[17]
# BeZnSe2 | Alexandria | PBE | optimized geometry
# Total magnetization = 0.00 μB/cell
data_BeZnSe2
_chemical_formula_sum 'Be8 Zn8 Se16'
_cell_length_a 7.678
_cell_length_b 7.678
_cell_length_c 12.172
_cell_angle_alpha 98.39
_cell_angle_beta 98.39
_cell_angle_gamma 75.52
_symmetry_space_group_name_H-M 'P 1'
_symmetry_Int_Tables_number 1
loop_
_symmetry_equiv_pos_as_xyz
'x,y,z'
loop_
_atom_site_label
_atom_site_fract_x
_atom_site_fract_y
_atom_site_fract_z
Be1 0.044 0.198 0.370
Be2 0.076 0.593 0.916
Be3 0.198 0.044 0.870
Be4 0.407 0.924 0.584
Be5 0.593 0.076 0.416
Be6 0.802 0.956 0.130
Be7 0.924 0.407 0.084
Be8 0.956 0.802 0.630
Zn1 0.152 0.669 0.339
Zn2 0.294 0.450 0.621
Zn3 0.331 0.848 0.161
Zn4 0.450 0.294 0.121
Zn5 0.550 0.706 0.879
Zn6 0.669 0.152 0.839
Zn7 0.706 0.550 0.379
Zn8 0.848 0.331 0.661
Se1 0.023 0.556 0.728
Se2 0.047 0.953 0.250
Se3 0.173 0.312 0.986
Se4 0.209 0.743 0.539
Se5 0.257 0.791 0.961
Se6 0.312 0.173 0.486
Se7 0.434 0.566 0.250
Se8 0.444 0.977 0.772
Se9 0.556 0.023 0.228
Se10 0.566 0.434 0.750
Se11 0.688 0.827 0.514
Se12 0.743 0.209 0.039
Se13 0.791 0.257 0.461
Se14 0.827 0.688 0.014
Se15 0.953 0.047 0.750
Se16 0.977 0.444 0.272

[18]
# Pr2InHPt6 | Alexandria | PBE | optimized geometry
# Total magnetization = 0.00 μB/cell
data_Pr2InHPt6
_chemical_formula_sum 'Pr2 In1 H1 Pt6'
_cell_length_a 7.295
_cell_length_b 7.295
_cell_length_c 7.295
_cell_angle_alpha 46.46
_cell_angle_beta 46.46
_cell_angle_gamma 46.46
_symmetry_space_group_name_H-M 'P 1'
_symmetry_Int_Tables_number 1
loop_
_symmetry_equiv_pos_as_xyz
'x,y,z'
loop_
_atom_site_label
_atom_site_fract_x
_atom_site_fract_y
_atom_site_fract_z
Pr1 0.222 0.222 0.222
Pr2 0.778 0.778 0.778
In1 0.500 0.500 0.500
H1 0.000 0.000 0.000
Pt1 0.226 0.226 0.725
Pt2 0.226 0.725 0.226
Pt3 0.275 0.774 0.774
Pt4 0.725 0.226 0.226
Pt5 0.774 0.275 0.774
Pt6 0.774 0.774 0.275

[19]
# Ba2CaMn | Alexandria | PBE | optimized geometry
# Total magnetization = 3.41 μB/cell
data_Ba2CaMn
_chemical_formula_sum 'Ba2 Ca1 Mn1'
_cell_length_a 7.422
_cell_length_b 7.422
_cell_length_c 7.422
_cell_angle_alpha 147.13
_cell_angle_beta 131.49
_cell_angle_gamma 59.84
_symmetry_space_group_name_H-M 'P 1'
_symmetry_Int_Tables_number 1
loop_
_symmetry_equiv_pos_as_xyz
'x,y,z'
loop_
_atom_site_label
_atom_site_fract_x
_atom_site_fract_y
_atom_site_fract_z
Ba1 0.202 0.202 0.000
Ba2 0.798 0.798 0.000
Ca1 0.500 0.000 0.500
Mn1 0.000 0.500 0.500

[20]
# Sr2BO | Alexandria | PBE | optimized geometry
# Total magnetization = 3.00 μB/cell
data_Sr2BO
_chemical_formula_sum 'Sr2 B1 O1'
_cell_length_a 4.806
_cell_length_b 4.806
_cell_length_c 4.806
_cell_angle_alpha 60.00
_cell_angle_beta 60.00
_cell_angle_gamma 60.00
_symmetry_space_group_name_H-M 'P 1'
_symmetry_Int_Tables_number 1
loop_
_symmetry_equiv_pos_as_xyz
'x,y,z'
loop_
_atom_site_label
_atom_site_fract_x
_atom_site_fract_y
_atom_site_fract_z
Sr1 0.250 0.250 0.250
Sr2 0.750 0.750 0.750
B1 0.000 0.000 0.000
O1 0.500 0.500 0.500

no.,density of states at the Fermi level (states/eV per atom),calculated total energy (eV for the cell shown)
1,0.964,-18.2
2,0.411,-45.3
3,0.000,-41.6
4,0.771,-62.9
5,0.321,-22.8
6,0.620,-57.1
7,0.546,-25.9
8,0.736,-99.6
9,0.861,-43.4
10,0.155,-43.2
11,0.447,-33.4
12,0.676,-43.3
13,0.418,-33.2
14,0.816,-18.6
15,0.216,-67.4
16,0.258,-24.2
17,0.000,-117.5
18,0.487,-58.7
19,1.166,-13.3
20,0.247,-16.1